PBE PaVZnMo, optimized geometry; theoretical density = 11021 kg/m³; Fermi-level density of states = 3.505 states/eV/f.u.; energy relative to the elements = 0.14 eV per atom; final energy = -7.54 eV per atom
1.0
0.0000 3.2204 3.2204
3.2204 0.0000 3.2204
3.2204 3.2204 0.0000
Pa V Zn Mo
1 1 1 1
direct
0.0000 0.0000 0.0000
0.2500 0.2500 0.2500
0.5000 0.5000 0.5000
0.7500 0.7500 0.7500

***

PBE Dy4TmRu2, optimized geometry; theoretical density = 9535 kg/m³; Fermi-level density of states = 6.683 states/eV/f.u.; energy relative to the elements = -0.25 eV per atom; final energy = -6.17 eV per atom
1.0
7.7768 0.0000 0.0000
0.0000 6.3082 0.0000
-3.0057 0.0000 7.2495
Dy Tm Ru
8 2 4
direct
0.1229 0.2500 0.4787
0.1762 0.7500 0.2554
0.2587 0.5015 0.9145
0.2587 0.9985 0.9145
0.7413 0.0015 0.0855
0.7413 0.4985 0.0855
0.8238 0.2500 0.7446
0.8771 0.7500 0.5213
0.4718 0.2500 0.3360
0.5282 0.7500 0.6640
0.0874 0.2500 0.1243
0.4784 0.2500 0.7539
0.5216 0.7500 0.2461
0.9126 0.7500 0.8757